# ZrPaNi (GGA-PBE, relaxed)
data_ZrPaNi
_cell_length_a 5.315
_cell_length_b 9.238
_cell_length_c 19.222
_cell_angle_alpha 90.00
_cell_angle_beta 90.00
_cell_angle_gamma 90.00
_symmetry_space_group_name_H-M 'F d d d'
_symmetry_Int_Tables_number 70
loop_
_symmetry_equiv_pos_as_xyz
'x,y,z'
'-x,-y,-z'
'-x+1/4,-y+1/4,z'
'x+1/4,y+1/4,-z'
'x,-y+1/4,-z+1/4'
'-x,y+1/4,z+1/4'
'-x+1/4,y,-z+1/4'
'x+1/4,-y,z+1/4'
'x,y+1/2,z+1/2'
'-x,-y+1/2,-z+1/2'
'-x+1/4,-y+3/4,z+1/2'
'x+1/4,y+3/4,-z+1/2'
'x,-y+3/4,-z+3/4'
'-x,y+3/4,z+3/4'
'-x+1/4,y+1/2,-z+3/4'
'x+1/4,-y+1/2,z+3/4'
'x+1/2,y,z+1/2'
'-x+1/2,-y,-z+1/2'
'-x+3/4,-y+1/4,z+1/2'
'x+3/4,y+1/4,-z+1/2'
'x+1/2,-y+1/4,-z+3/4'
'-x+1/2,y+1/4,z+3/4'
'-x+3/4,y,-z+3/4'
'x+3/4,-y,z+3/4'
'x+1/2,y+1/2,z'
'-x+1/2,-y+1/2,-z'
'-x+3/4,-y+3/4,z'
'x+3/4,y+3/4,-z'
'x+1/2,-y+3/4,-z+1/4'
'-x+1/2,y+3/4,z+1/4'
'-x+3/4,y+1/2,-z+1/4'
'x+3/4,-y+1/2,z+1/4'
loop_
_atom_site_label
_atom_site_fract_x
_atom_site_fract_y
_atom_site_fract_z
_atom_site_occupancy
Zr1 0.125 0.294 0.125 1
Pa1 0.125 0.125 0.545 1
Ni1 0.125 0.125 0.001 1
# V	19.7	Å³ per atom
# magnetization	0.00	Bohr magnetons per cell
# energy of formation from the pure elements	-0.28	eV per atom
# distance to the lowest polymorph of the same formula	0	meV per atom
# E	-8.22	eV per atom


# ScH3Pt (GGA-PBE, relaxed)
data_ScH3Pt
_cell_length_a 3.609
_cell_length_b 3.609
_cell_length_c 3.609
_cell_angle_alpha 90.00
_cell_angle_beta 90.00
_cell_angle_gamma 90.00
_symmetry_space_group_name_H-M 'P m -3 m'
_symmetry_Int_Tables_number 221
_symmetry_space_group_name_Hall '-P 4 2 3'
loop_
_atom_site_label
_atom_site_fract_x
_atom_site_fract_y
_atom_site_fract_z
_atom_site_occupancy
Sc1 0.000 0.000 0.000 1
H1 0.000 0.500 0.500 1
Pt1 0.500 0.500 0.500 1
# V	9.4	Å³ per atom
# magnetization	0.00	Bohr magnetons per cell
# E	-4.87	eV per atom


# LiSNCl2 (GGA-PBE, relaxed)
data_LiSNCl2
_cell_length_a 4.874
_cell_length_b 4.874
_cell_length_c 5.029
_cell_angle_alpha 90.00
_cell_angle_beta 90.00
_cell_angle_gamma 90.00
_symmetry_space_group_name_H-M 'P 4/m m m'
_symmetry_Int_Tables_number 123
_symmetry_space_group_name_Hall '-P 4 2'
loop_
_atom_site_label
_atom_site_fract_x
_atom_site_fract_y
_atom_site_fract_z
_atom_site_occupancy
Li1 0.000 0.000 0.000 1
S1 0.000 0.000 0.500 1
N1 0.500 0.500 0.500 1
Cl1 0.000 0.500 0.000 1
# formation energy without anion corrections	1.04	eV per atom
# V	23.9	Å³ per atom
# magnetization	6.06	Bohr magnetons per cell
# distance to the lowest polymorph of the same formula	720	meV per atom
# E	-2.57	eV per atom